A plane-wave DFT calculation with GGA-PBE was carried out for crystalline LaErP2O8 at its relaxed geometry.

a b c (Å): 5.2759 5.2759 7.2099
angles (deg): 90.00 90.00 120.00
Space group P-3m1 (No. 164)
Symmetry-distinct sites (fractional):
La (0.0000, 0.0000, 0.0000)
Er (0.0000, 0.0000, 0.5000)
P (0.3333, 0.6667, 0.7881)
O (0.1736, 0.3472, 0.7144)
O (0.3333, 0.6667, 0.0004)

Calculated values
Density of states at the Fermi level = 0.00 states/eV per cell
E_form (uncorrected) = -2958 meV/atom